Compound: KAlSi3O8
Source: Alexandria
Functional: GGA-PBE
Structure: optimized geometry

Lattice parameters (Å, degrees): 8.752 13.312 7.228 90.00 115.64 90.00
Space group C2 (No. 5)
Symmetry-distinct sites (fractional):
K 0.209 0.000 0.368
Al 0.212 0.896 0.846
Si 0.009 0.701 0.721
Si 0.018 0.329 0.728
Si 0.217 0.133 0.846
O 0.000 0.360 0.500
O 0.000 0.660 0.500
O 0.027 0.821 0.746
O 0.051 0.207 0.765
O 0.142 0.021 0.784
O 0.158 0.361 0.269
O 0.165 0.660 0.273
O 0.172 0.643 0.903
O 0.183 0.389 0.887

Values from the calculation:
- Excess energy over the best structure of this formula in the dataset: 0.006 eV per atom
- N(E_F): 0.000 states/eV/atom
- Raw formation energy: -2812 meV/atom



Compound: MnGeCN
Source: Alexandria
Functional: GGA-PBE
Structure: optimized geometry

Lattice parameters (Å, degrees): 3.299 2.475 5.119 90.00 102.38 90.00
Space group Pm (No. 6)
Symmetry-distinct sites (fractional):
Mn 0.000 0.000 0.000
Ge 0.403 0.500 0.705
C 0.403 0.500 0.307
N 0.575 0.000 0.226

Values from the calculation:
- Excess energy over the best structure of this formula in the dataset: 0.093 eV per atom
- N(E_F): 0.462 states/eV/atom
- Raw formation energy: 374 meV/atom



Compound: CeZr
Source: Alexandria
Functional: GGA-PBE
Structure: optimized geometry

Lattice parameters (Å, degrees): 5.613 3.236 10.982 90.00 90.02 90.00
Space group C2/m (No. 12)
Symmetry-distinct sites (fractional):
Ce 0.166 0.000 0.129
Zr 0.165 0.000 0.617

Values from the calculation:
- N(E_F): 2.128 states/eV/atom
- Formation enthalpy at 0 K: 0.1 eV per formula unit



Compound: Zr2AsW2
Source: Alexandria
Functional: GGA-PBE
Structure: optimized geometry

Lattice parameters (Å, degrees): 4.918 4.918 4.522 90.00 90.00 90.00
Space group P4/mmm (No. 123)
Symmetry-distinct sites (fractional):
Zr 0.000 0.500 0.000
As 0.000 0.000 0.000
W 0.000 0.000 0.500
W 0.500 0.500 0.500

Values from the calculation:
- N(E_F): 0.805 states/eV/atom
- Formation enthalpy at 0 K: 4.7 eV per formula unit



Compound: Nd2ZnAg6
Source: Alexandria
Functional: GGA-PBE
Structure: optimized geometry

Lattice parameters (Å, degrees): 6.1591 6.1591 5.9131 90.00 90.00 120.00
Space group P-3m1 (No. 164)
Symmetry-distinct sites (fractional):
Nd 0.3333 0.6667 0.1558
Zn 0.0000 0.0000 0.0000
Ag 0.1774 0.3548 0.6787

Values from the calculation:
- N(E_F): 0.539 states/eV/atom
- Formation enthalpy at 0 K: -1.6 eV per formula unit



Compound: Dy2Y2ErSc
Source: Alexandria
Functional: GGA-PBE
Structure: optimized geometry

Lattice parameters (Å, degrees): 6.941 5.518 9.527 90.00 90.00 90.00
Space group Pmma (No. 51)
Symmetry-distinct sites (fractional):
Dy 0.250 0.000 0.150
Dy 0.250 0.500 0.683
Y 0.000 0.000 0.500
Y 0.250 0.500 0.343
Er 0.000 0.500 0.000
Sc 0.250 0.000 0.823

Values from the calculation:
- N(E_F): 1.849 states/eV/atom
- Formation enthalpy at 0 K: 0.4 eV per formula unit



Compound: Sb2MoRh
Source: Alexandria
Functional: GGA-PBE
Structure: optimized geometry

Lattice parameters (Å, degrees): 4.630 4.630 3.374 90.00 90.00 90.00
Space group P4/mmm (No. 123)
Symmetry-distinct sites (fractional):
Sb 0.000 0.500 0.000
Mo 0.000 0.000 0.500
Rh 0.500 0.500 0.500

Values from the calculation:
- N(E_F): 0.690 states/eV/atom
- Raw formation energy: 5 meV/atom



Compound: LiCa3Np2N6
Source: Alexandria
Functional: GGA-PBE
Structure: optimized geometry

Lattice parameters (Å, degrees): 14.260 3.528 7.013 90.00 105.04 90.00
Space group C2/m (No. 12)
Symmetry-distinct sites (fractional):
Li 0.000 0.000 0.000
Ca 0.000 0.000 0.500
Ca 0.158 0.500 0.844
Np 0.163 0.500 0.319
N 0.021 0.500 0.272
N 0.166 0.000 0.112
N 0.183 0.000 0.576

Values from the calculation:
- N(E_F): 0.630 states/eV/atom
- Raw formation energy: -1062 meV/atom



Compound: ErZrMo4
Source: Alexandria
Functional: GGA-PBE
Structure: optimized geometry

Lattice parameters (Å, degrees): 7.690 7.690 7.690 90.00 90.00 90.00
Space group F-43m (No. 216)
Symmetry-distinct sites (fractional):
Er 0.000 0.000 0.000
Zr 0.250 0.250 0.750
Mo 0.125 0.125 0.375

Values from the calculation:
- N(E_F): 0.934 states/eV/atom
- Formation enthalpy at 0 K: -0.2 eV per formula unit



Compound: Pr12Nd7Cd
Source: Alexandria
Functional: GGA-PBE
Structure: optimized geometry

Lattice parameters (Å, degrees): 12.4463 12.4463 15.9177 90.00 90.00 120.00
Space group R-3 (No. 148, hexagonal axes)
Symmetry-distinct sites (fractional):
Pr 0.0350 0.4523 0.2135
Pr 0.0565 0.5867 0.5837
Nd 0.0000 0.0000 0.0000
Nd 0.0568 0.1853 0.2975
Cd 0.0000 0.0000 0.5000

Values from the calculation:
- Excess energy over the best structure of this formula in the dataset: 0.000 eV per atom
- N(E_F): 1.672 states/eV/atom
- Formation enthalpy at 0 K: 3.0 eV per formula unit



Compound: In8Hg3Pb3
Source: Alexandria
Functional: GGA-PBE
Structure: optimized geometry

Lattice parameters (Å, degrees): 12.757 10.989 5.775 90.00 100.22 90.00
Space group C2/m (No. 12)
Symmetry-distinct sites (fractional):
In 0.136 0.230 0.109
In 0.140 0.360 0.614
Hg 0.000 0.000 0.000
Hg 0.000 0.138 0.500
Pb 0.000 0.500 0.000
Pb 0.228 0.000 0.776

Values from the calculation:
- N(E_F): 0.409 states/eV/atom
- Formation enthalpy at 0 K: 0.7 eV per formula unit



Compound: Rb3SrCe2S6
Source: Alexandria
Functional: GGA-PBE
Structure: optimized geometry

Lattice parameters (Å, degrees): 7.389 12.795 8.047 90.00 107.86 90.00
Space group C2/m (No. 12)
Symmetry-distinct sites (fractional):
Rb 0.000 0.000 0.000
Rb 0.000 0.338 0.000
Sr 0.000 0.500 0.500
Ce 0.000 0.167 0.500
S 0.212 0.000 0.695
S 0.242 0.323 0.696

Values from the calculation:
- N(E_F): 0.522 states/eV/atom
- Raw formation energy: -1768 meV/atom



Compound: Tm3AlNi8
Source: Alexandria
Functional: GGA-PBE
Structure: optimized geometry

Lattice parameters (Å, degrees): 5.0081 5.0081 15.9720 90.00 90.00 120.00
Space group P6_3/mmc (No. 194)
Symmetry-distinct sites (fractional):
Tm 0.3333 0.6667 0.0414
Tm 0.3333 0.6667 0.2500
Al 0.3333 0.6667 0.7500
Ni 0.0000 0.0000 0.0000
Ni 0.0000 0.0000 0.2500
Ni 0.1664 0.3327 0.6260

Values from the calculation:
- Excess energy over the best structure of this formula in the dataset: 0.000 eV per atom
- N(E_F): 0.677 states/eV/atom
- Formation enthalpy at 0 K: -6.1 eV per formula unit



Compound: ErUS4
Source: Alexandria
Functional: GGA-PBE
Structure: optimized geometry

Lattice parameters (Å, degrees): 8.718 8.883 4.080 90.00 90.00 90.00
Space group Cmmm (No. 65)
Symmetry-distinct sites (fractional):
Er 0.000 0.000 0.000
U 0.000 0.500 0.500
S 0.000 0.311 0.000
S 0.202 0.000 0.500

Values from the calculation:
- Excess energy over the best structure of this formula in the dataset: 0.071 eV per atom
- N(E_F): 0.809 states/eV/atom
- Raw formation energy: -1503 meV/atom



Compound: K2Ta2TiS6
Source: Alexandria
Functional: GGA-PBE
Structure: optimized geometry

Lattice parameters (Å, degrees): 6.091 10.494 7.910 90.00 102.71 90.00
Space group C2/m (No. 12)
Symmetry-distinct sites (fractional):
K 0.000 0.176 0.000
Ta 0.000 0.360 0.500
Ti 0.000 0.000 0.500
S 0.220 0.169 0.681
S 0.240 0.500 0.707

Values from the calculation:
- N(E_F): 0.394 states/eV/atom
- Raw formation energy: -1211 meV/atom



Compound: AcCoBi3
Source: Alexandria
Functional: GGA-PBE
Structure: optimized geometry

Lattice parameters (Å, degrees): 5.292 5.292 5.292 90.00 90.00 90.00
Space group Pm-3m (No. 221)
Symmetry-distinct sites (fractional):
Ac 0.000 0.000 0.000
Co 0.500 0.500 0.500
Bi 0.000 0.500 0.500

Values from the calculation:
- N(E_F): 1.196 states/eV/atom
- Formation enthalpy at 0 K: -0.5 eV per formula unit



Compound: MgCoCuGe
Source: Alexandria
Functional: GGA-PBE
Structure: optimized geometry

Lattice parameters (Å, degrees): 5.982 5.982 5.982 90.00 90.00 90.00
Space group F-43m (No. 216)
Symmetry-distinct sites (fractional):
Mg 0.000 0.000 0.000
Co 0.250 0.250 0.250
Cu 0.250 0.250 0.750
Ge 0.000 0.000 0.500

Values from the calculation:
- N(E_F): 0.620 states/eV/atom
- Formation enthalpy at 0 K: -0.1 eV per formula unit



Compound: La2FeTc
Source: Alexandria
Functional: GGA-PBE
Structure: optimized geometry

Lattice parameters (Å, degrees): 11.579 3.856 4.734 90.00 114.10 90.00
Space group Cm (No. 8)
Symmetry-distinct sites (fractional):
La 0.000 0.000 0.000
La 0.207 0.000 0.707
Fe 0.298 0.500 0.297
Tc 0.404 0.000 0.404

Values from the calculation:
- Excess energy over the best structure of this formula in the dataset: 0.136 eV per atom
- N(E_F): 1.351 states/eV/atom
- Formation enthalpy at 0 K: 0.8 eV per formula unit



Compound: KPmCuO4
Source: Alexandria
Functional: GGA-PBE
Structure: optimized geometry

Lattice parameters (Å, degrees): 5.926 5.078 7.800 90.00 106.76 90.00
Space group P2_1/m (No. 11)
Symmetry-distinct sites (fractional):
K 0.200 0.250 0.451
Pm 0.253 0.250 0.948
Cu 0.291 0.750 0.209
O 0.063 0.750 0.320
O 0.107 0.750 0.959
O 0.493 0.502 0.800

Values from the calculation:
- N(E_F): 0.570 states/eV/atom
- Raw formation energy: -1541 meV/atom



Compound: CuAuOF2
Source: Alexandria
Functional: GGA-PBE
Structure: optimized geometry

Lattice parameters (Å, degrees): 3.826 3.826 4.144 90.00 90.00 90.00
Space group P4/mmm (No. 123)
Symmetry-distinct sites (fractional):
Cu 0.000 0.000 0.000
Au 0.500 0.500 0.500
O 0.000 0.000 0.500
F 0.000 0.500 0.000

Values from the calculation:
- Excess energy over the best structure of this formula in the dataset: 0.000 eV per atom
- N(E_F): 0.626 states/eV/atom
- Raw formation energy: -491 meV/atom